Model A:
Crystalline CsPb3Au3 at its relaxed geometry, computed with PBE.

Theoretical density (g/cm3): 8.70

a b c (Å): 8.010 8.010 8.010
angles (deg): 90.00 90.00 90.00
Element x y z (fractional)
Au: 0.000 0.500 0.750
Pb: 0.500 0.000 0.750
Cs: 0.500 0.500 0.500
Pb: 0.500 0.000 0.250
Au: 0.750 0.000 0.500
Pb: 0.250 0.500 0.000
Pb: 0.000 0.250 0.500
Au: 0.500 0.750 0.000
Cs: 0.000 0.000 0.000
Pb: 0.000 0.750 0.500
Au: 0.250 0.000 0.500
Au: 0.000 0.500 0.250
Au: 0.500 0.250 0.000
Pb: 0.750 0.500 0.000


Model B:
Crystalline CsPb3Au3 at its relaxed geometry, computed with PBE.

Theoretical density (g/cm3): 8.30

a b c (Å): 8.344 8.344 10.145
angles (deg): 65.72 65.72 60.00
Element x y z (fractional)
Au: 0.723 0.515 0.675
Au: 0.515 0.086 0.675
Au: 0.485 0.914 0.325
Au: 0.086 0.723 0.675
Pb: 0.626 0.153 0.350
Cs: 0.337 0.337 0.990
Pb: 0.153 0.870 0.350
Pb: 0.870 0.626 0.350
Cs: 0.663 0.663 0.010
Pb: 0.374 0.847 0.650
Au: 0.914 0.277 0.325
Au: 0.277 0.485 0.325
Pb: 0.130 0.374 0.650
Pb: 0.847 0.130 0.650


Q: What are the energies relative to the best structure? A: model A 0; model B 19, in meV per atom.


Model A:
Crystalline Cs2PbAu at its relaxed geometry, computed with PBE.

Theoretical density (g/cm3): 5.51

a b c (Å): 4.992 7.120 7.120
angles (deg): 61.06 69.26 69.26
Each line ends with the local moment (μB).
Element x y z (fractional)
Pb: 0.250 0.167 0.333  0.07
Cs: 0.437 0.483 0.641  0.01
Au: 0.750 0.991 0.509  0.02
Cs: 0.063 0.859 0.017  0.01


Model B:
Crystalline Cs2PbAu at its relaxed geometry, computed with PBE.

Theoretical density (g/cm3): 6.41

a b c (Å): 4.061 4.061 10.525
angles (deg): 90.00 90.00 90.00
Each line ends with the local moment (μB).
Element x y z (fractional)
Cs: 0.000 0.000 0.215  0.02
Au: 0.500 0.500 0.000  0.01
Pb: 0.500 0.500 0.500  0.19
Cs: 0.000 0.000 0.785  0.02


Model C:
Crystalline Cs2PbAu at its relaxed geometry, computed with PBE.

Theoretical density (g/cm3): 4.58

a b c (Å): 9.741 9.741 9.741
angles (deg): 94.71 94.71 146.70
Element x y z (fractional)
Cs: 0.717 0.375 0.842
Cs: 0.533 0.875 0.158
Pb: 0.250 0.750 0.500
Cs: 0.125 0.283 0.658
Cs: 0.625 0.467 0.342
Au: 0.500 0.500 0.000
Pb: 0.000 0.000 0.000
Au: 0.750 0.250 0.500


Model D:
Crystalline Cs2PbAu at its relaxed geometry, computed with PBE.

Theoretical density (g/cm3): 5.68

a b c (Å): 4.235 4.235 12.842
angles (deg): 80.51 80.51 60.00
Element x y z (fractional)
Cs: 0.102 0.102 0.695
Pb: 0.000 0.000 0.000
Au: 0.500 0.500 0.500
Cs: 0.898 0.898 0.305


Q: What are the energies relative to the best structure? A: model A 0; model B 100; model C 81; model D 299, in meV per atom.


Model A:
Crystalline Cs2PbAu2 at its relaxed geometry, computed with PBE.

Theoretical density (g/cm3): 7.65

a b c (Å): 7.575 7.047 8.481
angles (deg): 98.22 90.00 122.51
Element x y z (fractional)
Pb: 0.075 0.000 0.750
Cs: 0.478 0.710 0.872
Cs: 0.767 0.290 0.628
Cs: 0.522 0.290 0.128
Cs: 0.233 0.710 0.372
Au: 0.292 0.283 0.498
Au: 0.990 0.283 0.998
Au: 0.708 0.717 0.502
Au: 0.010 0.717 0.002
Pb: 0.925 0.000 0.250


Model B:
Crystalline Cs2PbAu2 at its relaxed geometry, computed with PBE.

Theoretical density (g/cm3): 7.24

a b c (Å): 8.311 8.311 8.311
angles (deg): 143.84 143.84 52.07
Each line ends with the local moment (μB).
Element x y z (fractional)
Au: 0.591 0.591 0.000  0.03
Cs: 0.250 0.750 0.500  0.02
Cs: 0.750 0.250 0.500  0.02
Au: 0.409 0.409 0.000  0.03
Pb: 0.000 0.000 0.000  0.23


Model C:
Crystalline Cs2PbAu2 at its relaxed geometry, computed with PBE.

Theoretical density (g/cm3): 7.51

a b c (Å): 10.271 10.271 3.634
angles (deg): 90.00 90.00 90.00
Element x y z (fractional)
Au: 0.832 0.332 0.500
Cs: 0.367 0.867 0.000
Cs: 0.867 0.633 0.000
Au: 0.168 0.668 0.500
Cs: 0.133 0.367 0.000
Pb: 0.500 0.500 0.000
Pb: 0.000 0.000 0.000
Au: 0.668 0.832 0.500
Cs: 0.633 0.133 0.000
Au: 0.332 0.168 0.500


Model D:
Crystalline Cs2PbAu2 at its relaxed geometry, computed with PBE.

Theoretical density (g/cm3): 7.93

a b c (Å): 7.901 7.901 5.812
angles (deg): 90.00 90.00 90.00
Element x y z (fractional)
Au: 0.370 0.870 0.000
Pb: 0.000 0.000 0.000
Au: 0.870 0.630 0.000
Pb: 0.500 0.500 0.000
Au: 0.630 0.130 0.000
Cs: 0.175 0.675 0.500
Cs: 0.825 0.325 0.500
Au: 0.130 0.370 0.000
Cs: 0.675 0.825 0.500
Cs: 0.325 0.175 0.500


Q: What are the energies relative to the best structure? A: model A 0; model B 466; model C 354; model D 103, in meV per atom.


Model A:
Crystalline Cs2Pd2Au at its relaxed geometry, computed with PBE.

Theoretical density (g/cm3): 6.19

a b c (Å): 6.208 6.208 6.208
angles (deg): 113.87 113.87 100.99
Each line ends with the local moment (μB).
Element x y z (fractional)
Au: 0.000 0.000 0.000  0.04
Pd: 0.664 0.664 0.000  0.18
Cs: 0.250 0.750 0.500  0.00
Cs: 0.750 0.250 0.500  0.00
Pd: 0.336 0.336 0.000  0.18


Model B:
Crystalline Cs2Pd2Au at its relaxed geometry, computed with PBE.

Theoretical density (g/cm3): 7.73

a b c (Å): 7.198 7.198 5.599
angles (deg): 90.00 90.00 90.00
Element x y z (fractional)
Cs: 0.684 0.816 0.500
Au: 0.500 0.500 0.000
Pd: 0.366 0.866 0.000
Cs: 0.816 0.316 0.500
Au: 0.000 0.000 0.000
Pd: 0.866 0.634 0.000
Pd: 0.634 0.134 0.000
Cs: 0.316 0.184 0.500
Pd: 0.134 0.366 0.000
Cs: 0.184 0.684 0.500


Model C:
Crystalline Cs2Pd2Au at its relaxed geometry, computed with PBE.

Theoretical density (g/cm3): 5.36

a b c (Å): 4.735 4.735 11.130
angles (deg): 77.72 77.72 60.00
Element x y z (fractional)
Pd: 0.325 0.325 0.025
Pd: 0.675 0.675 0.975
Cs: 0.421 0.421 0.737
Cs: 0.579 0.579 0.263
Au: 0.000 0.000 0.000


Q: What are the energies relative to the best structure? A: model A 362; model B 208; model C 0, in meV per atom.


Model A:
Crystalline CsPdAu at its relaxed geometry, computed with PBE.

Theoretical density (g/cm3): 7.36

a b c (Å): 5.460 4.562 4.562
angles (deg): 120.00 90.00 90.00
Element x y z (fractional)
Pd: 0.167 0.667 0.333
Au: 0.167 0.000 0.000
Cs: 0.667 0.333 0.667


Model B:
Crystalline CsPdAu at its relaxed geometry, computed with PBE.

Theoretical density (g/cm3): 7.36

a b c (Å): 4.560 7.886 7.119
angles (deg): 123.63 108.68 90.00
Element x y z (fractional)
Cs: 0.251 0.251 0.502
Pd: 0.000 0.664 0.000
Cs: 0.749 0.749 0.498
Au: 0.500 0.830 0.000
Au: 0.500 0.170 0.000
Pd: 0.000 0.336 0.000


Q: What are the energies relative to the best structure? A: model A 0; model B 22, in meV per atom.


Model A:
Crystalline CsPdAu at its relaxed geometry, computed with PBE.

Theoretical density (g/cm3): 7.82

a b c (Å): 4.638 7.009 6.754
angles (deg): 115.01 90.28 109.13
Element x y z (fractional)
Au: 0.174 0.193 0.653
Cs: 0.465 0.770 0.654
Pd: 0.369 0.582 0.050
Au: 0.981 0.806 0.253
Cs: 0.690 0.229 0.252
Pd: 0.786 0.416 0.856


Model B:
Crystalline CsPdAu at its relaxed geometry, computed with PBE.

Theoretical density (g/cm3): 8.12

a b c (Å): 3.816 3.816 6.694
angles (deg): 106.56 106.56 90.00
Element x y z (fractional)
Au: 0.731 0.731 0.462
Pd: 0.266 0.266 0.532
Cs: 0.003 0.003 0.006


Q: What are the energies relative to the best structure? A: model A 0; model B 143, in meV per atom.